An optimized crystal structure of CoAs2Au. Source: Alexandria via LeMat-Bulk, functional PBE-GGA.

final energy = -4.826 eV per atom
crystal system = orthorhombic
space group = No. 25
energy of formation from the pure elements = 94 meV/atom

abc: 2.8231 3.6657 7.0804
angles: 90.00 90.00 90.00
Closest atoms and distances in Å follow each position.
Positions (direct):
Co 0.0000 0.0000 0.0000  5 As 2.27-2.42
As 0.0000 0.0000 0.3204  1 Co 2.27
As 0.5000 0.5000 0.9020  4 Co 2.42, 1 Au 2.57
Au 0.5000 0.5000 0.5386  5 As 2.57-2.78, 2 Au 2.82